[1]
A geometry-optimized As3SeO structure, computed with GGA-PBE.

Output
energy above the lowest structure with this stoichiometry = 21.93 kcal/mol of atoms
formation energy from raw total energies = 1.4110 eV/atom
spin magnetization = 0.000 μB/atom

a = 4.9831 Å, b = 4.9831 Å, c = 4.9831 Å
α = 90.00°, β = 90.00°, γ = 90.00°
Last column: nearest neighbours and their distance in Å.
Space group Pm-3m (No. 221)
Asymmetric unit:
As 0.0000 0.0000 0.5000 x3  2 Se 2.49
Se 0.0000 0.0000 0.0000 x1  6 As 2.49
O 0.5000 0.5000 0.5000 x1  12 As 3.52


[2]
A geometry-optimized As2SeO structure, computed with GGA-PBE.

Output
energy above the lowest structure with this stoichiometry = 0.00 kcal/mol of atoms
formation energy from raw total energies = -0.0323 eV/atom
spin magnetization = 0.000 μB/atom

a = 4.7711 Å, b = 4.7711 Å, c = 13.8984 Å
α = 90.00°, β = 90.00°, γ = 90.00°
Last column: nearest neighbours and their distance in Å.
Space group I-42d (No. 122)
Asymmetric unit:
As 0.1295 0.2500 0.1250 x8  2 O 2.20
Se 0.0000 0.0000 0.5000 x4  4 As 2.75
O 0.0000 0.0000 0.0000 x4  4 As 2.20


[3]
A geometry-optimized As3SeO structure, computed with GGA-PBE.

Output
energy above the lowest structure with this stoichiometry = 0.00 kcal/mol of atoms
formation energy from raw total energies = 0.4600 eV/atom
spin magnetization = 0.000 μB/atom

a = 4.4735 Å, b = 4.4735 Å, c = 4.4735 Å
α = 90.00°, β = 90.00°, γ = 90.00°
Last column: nearest neighbours and their distance in Å.
Space group Pm-3m (No. 221)
Asymmetric unit:
As 0.0000 0.0000 0.5000 x3  2 O 2.24
Se 0.5000 0.5000 0.5000 x1  12 As 3.16
O 0.0000 0.0000 0.0000 x1  6 As 2.24


[4]
A geometry-optimized AsSe3O structure, computed with GGA-PBE.

Output
formation energy from raw total energies = 1.1699 eV/atom
spin magnetization = 0.000 μB/atom

a = 4.9826 Å, b = 4.9826 Å, c = 4.9826 Å
α = 90.00°, β = 90.00°, γ = 90.00°
Last column: nearest neighbours and their distance in Å.
Space group Pm-3m (No. 221)
Asymmetric unit:
As 0.0000 0.0000 0.0000 x1  6 Se 2.49
Se 0.0000 0.0000 0.5000 x3  2 As 2.49
O 0.5000 0.5000 0.5000 x1  12 Se 3.52


[5]
A geometry-optimized As2SeO structure, computed with GGA-PBE.

Output
energy above the lowest structure with this stoichiometry = 10.72 kcal/mol of atoms
formation energy from raw total energies = 0.4326 eV/atom
spin magnetization = 0.000 μB/atom

a = 6.3423 Å, b = 6.3423 Å, c = 6.3423 Å
α = 90.00°, β = 90.00°, γ = 90.00°
Last column: nearest neighbours and their distance in Å.
Space group Fm-3m (No. 225)
Asymmetric unit:
As 0.2500 0.2500 0.2500 x8  4 O 2.75, 4 Se 2.75
Se 0.0000 0.0000 0.0000 x4  8 As 2.75
O 0.0000 0.0000 0.5000 x4  8 As 2.75


[6]
A geometry-optimized SiAsSe2O structure, computed with GGA-PBE.

Output
energy above the lowest structure with this stoichiometry = 0.00 kcal/mol of atoms
formation energy from raw total energies = 0.5331 eV/atom
spin magnetization = 0.000 μB/atom

a = 4.5727 Å, b = 4.5727 Å, c = 4.3114 Å
α = 90.00°, β = 90.00°, γ = 90.00°
Last column: nearest neighbours and their distance in Å.
Space group P4/mmm (No. 123)
Asymmetric unit:
Si 0.0000 0.0000 0.0000 x1  8 Se 3.14, 4 As 3.23
As 0.5000 0.5000 0.0000 x1  2 O 2.16
Se 0.0000 0.5000 0.5000 x2  2 O 2.29
O 0.5000 0.5000 0.5000 x1  2 As 2.16, 4 Se 2.29


[7]
A geometry-optimized SiAs2SeO structure, computed with GGA-PBE.

Output
energy above the lowest structure with this stoichiometry = 0.00 kcal/mol of atoms
formation energy from raw total energies = 0.4714 eV/atom
spin magnetization = 0.000 μB/atom

a = 4.2680 Å, b = 4.2680 Å, c = 4.8760 Å
α = 90.00°, β = 90.00°, γ = 90.00°
Last column: nearest neighbours and their distance in Å.
Space group P4/mmm (No. 123)
Asymmetric unit:
Si 0.0000 0.0000 0.0000 x1  4 Se 3.02, 8 As 3.24
As 0.0000 0.5000 0.5000 x2  2 O 2.13
Se 0.5000 0.5000 0.0000 x1  2 O 2.44
O 0.5000 0.5000 0.5000 x1  4 As 2.13


[8]
A geometry-optimized SiAs2SeO structure, computed with GGA-PBE.

Output
energy above the lowest structure with this stoichiometry = 12.63 kcal/mol of atoms
formation energy from raw total energies = 1.0192 eV/atom
spin magnetization = 0.000 μB/atom

a = 4.7483 Å, b = 4.7483 Å, c = 4.6232 Å
α = 90.00°, β = 90.00°, γ = 90.00°
Last column: nearest neighbours and their distance in Å.
Space group P4/mmm (No. 123)
Asymmetric unit:
Si 0.0000 0.0000 0.0000 x1  2 Se 2.31, 4 As 2.37
As 0.0000 0.5000 0.0000 x2  2 Si 2.37
Se 0.0000 0.0000 0.5000 x1  2 Si 2.31
O 0.5000 0.5000 0.5000 x1  8 As 3.31, 4 Se 3.36


[9]
A geometry-optimized SiAsSe2O structure, computed with GGA-PBE.

Output
energy above the lowest structure with this stoichiometry = 10.31 kcal/mol of atoms
formation energy from raw total energies = 0.9802 eV/atom
spin magnetization = 0.000 μB/atom

a = 4.6621 Å, b = 4.6621 Å, c = 4.8658 Å
α = 90.00°, β = 90.00°, γ = 90.00°
Last column: nearest neighbours and their distance in Å.
Space group P4/mmm (No. 123)
Asymmetric unit:
Si 0.0000 0.0000 0.0000 x1  4 Se 2.33, 2 As 2.43
As 0.0000 0.0000 0.5000 x1  2 Si 2.43
Se 0.0000 0.5000 0.0000 x2  2 Si 2.33
O 0.5000 0.5000 0.5000 x1  4 As 3.30, 8 Se 3.37


[10]
A geometry-optimized SnAsSe2O structure, computed with GGA-PBE.

Output
energy above the lowest structure with this stoichiometry = 0.00 kcal/mol of atoms
formation energy from raw total energies = 0.2193 eV/atom
spin magnetization = 0.000 μB/atom

a = 4.6342 Å, b = 4.6342 Å, c = 4.5227 Å
α = 90.00°, β = 90.00°, γ = 90.00°
Last column: nearest neighbours and their distance in Å.
Space group P4/mmm (No. 123)
Asymmetric unit:
Sn 0.0000 0.0000 0.0000 x1  8 Se 3.24, 4 As 3.28
As 0.5000 0.5000 0.0000 x1  2 O 2.26
Se 0.0000 0.5000 0.5000 x2  2 O 2.32
O 0.5000 0.5000 0.5000 x1  2 As 2.26, 4 Se 2.32


[11]
A geometry-optimized SnAsSe2O structure, computed with GGA-PBE.

Output
energy above the lowest structure with this stoichiometry = 23.40 kcal/mol of atoms
formation energy from raw total energies = 1.2342 eV/atom
spin magnetization = 0.000 μB/atom

a = 5.1844 Å, b = 5.1844 Å, c = 5.4156 Å
α = 90.00°, β = 90.00°, γ = 90.00°
Last column: nearest neighbours and their distance in Å.
Space group P4/mmm (No. 123)
Asymmetric unit:
Sn 0.0000 0.0000 0.0000 x1  4 Se 2.59, 2 As 2.71
As 0.0000 0.0000 0.5000 x1  2 Sn 2.71
Se 0.0000 0.5000 0.0000 x2  2 Sn 2.59
O 0.5000 0.5000 0.5000 x1  4 As 3.67, 8 Se 3.75


[12]
A geometry-optimized SrAs2SeO structure, computed with GGA-PBE.

Output
energy above the lowest structure with this stoichiometry = 41.12 kcal/mol of atoms
formation energy from raw total energies = 1.3904 eV/atom
spin magnetization = 0.000 μB/atom

a = 5.8285 Å, b = 5.8285 Å, c = 5.5929 Å
α = 90.00°, β = 90.00°, γ = 90.00°
Last column: nearest neighbours and their distance in Å.
Space group P4/mmm (No. 123)
Asymmetric unit:
Sr 0.0000 0.0000 0.0000 x1  2 Se 2.80, 4 As 2.91
As 0.0000 0.5000 0.0000 x2  2 Sr 2.91
Se 0.0000 0.0000 0.5000 x1  2 Sr 2.80
O 0.5000 0.5000 0.5000 x1  8 As 4.04, 4 Se 4.12


Q: Number 1 is which compound?
A: As3SeO


Copy entry 12 word for word.
A geometry-optimized SrAs2SeO structure, computed with GGA-PBE.

Output
energy above the lowest structure with this stoichiometry = 41.12 kcal/mol of atoms
formation energy from raw total energies = 1.3904 eV/atom
spin magnetization = 0.000 μB/atom

a = 5.8285 Å, b = 5.8285 Å, c = 5.5929 Å
α = 90.00°, β = 90.00°, γ = 90.00°
Last column: nearest neighbours and their distance in Å.
Space group P4/mmm (No. 123)
Asymmetric unit:
Sr 0.0000 0.0000 0.0000 x1  2 Se 2.80, 4 As 2.91
As 0.0000 0.5000 0.0000 x2  2 Sr 2.91
Se 0.0000 0.0000 0.5000 x1  2 Sr 2.80
O 0.5000 0.5000 0.5000 x1  8 As 4.04, 4 Se 4.12